Record 1
A geometry-optimized TbCeAsSe structure. Source: Alexandria, functional GGA-PBE.

Unit cell a=4.1663 b=4.1663 c=7.2572 alpha=73.32 beta=73.32 gamma=60.00
With the nearest neighbours (Å) after each atom.
Fractional coordinates of all 4 atoms:
1 Ce 0.9973 0.9973 0.0081  3 As 2.95, 3 Se 3.02
2 Tb 0.5026 0.5026 0.4921  3 As 2.89, 3 Se 2.95
3 As 0.2476 0.2476 0.2573  3 Tb 2.89, 3 Ce 2.95
4 Se 0.7525 0.7525 0.7424  3 Tb 2.95, 3 Ce 3.02

**Total DFT energy (no corrections)**: -25.4 eV/cell



Record 2
A geometry-optimized TbCe2As2Se2 structure. Source: Alexandria, functional GGA-PBE.

Unit cell a=5.3510 b=5.3510 c=8.2153 alpha=109.01 beta=109.01 gamma=90.00
With the nearest neighbours (Å) after each atom.
Fractional coordinates of all 7 atoms:
1 As 0.0000 0.5000 0.0000  2 Tb 2.68
2 As 0.5000 0.0000 0.0000  2 Tb 2.68
3 Se 0.1938 0.1938 0.3876  1 Ce 2.74, 1 Tb 2.83
4 Tb 0.0000 0.0000 0.0000  4 As 2.68, 2 Se 2.83
5 Ce 0.6182 0.6182 0.2364  1 Se 2.74
6 Se 0.8062 0.8062 0.6124  1 Ce 2.74, 1 Tb 2.83
7 Ce 0.3818 0.3818 0.7636  1 Se 2.74

**Total DFT energy (no corrections)**: -40.9 eV/cell



Record 3
A geometry-optimized Ce6TeAs3Se2 structure. Source: Alexandria, functional GGA-PBE.

Unit cell a=4.2581 b=8.5547 c=9.5436 alpha=103.10 beta=102.89 gamma=90.00
With the nearest neighbours (Å) after each atom.
Fractional coordinates of all 12 atoms:
1 Te 0.5000 0.0000 0.0000  6 Ce 3.12-3.13
2 Ce 0.6654 0.5866 0.3308  3 As 2.99, 3 Se 3.02-3.04
3 Ce 0.3269 0.9170 0.6539  3 As 2.94-3.00, 2 Se 3.04, 1 Te 3.13
4 Ce 0.3346 0.4134 0.6692  3 As 2.99, 3 Se 3.02-3.04
5 Ce 0.0000 0.2662 0.0000  3 As 2.92-2.98, 1 Se 3.04, 2 Te 3.12
6 Se 0.8323 0.6656 0.6647  6 Ce 3.02-3.04
7 As 0.1646 0.8322 0.3292  6 Ce 2.94-3.00
8 Se 0.1677 0.3344 0.3353  6 Ce 3.02-3.04
9 Ce 0.6731 0.0830 0.3461  3 As 2.94-3.00, 2 Se 3.04, 1 Te 3.13
10 As 0.5000 0.5000 0.0000  6 Ce 2.92-2.99
11 Ce 0.0000 0.7338 0.0000  3 As 2.92-2.98, 1 Se 3.04, 2 Te 3.12
12 As 0.8354 0.1678 0.6708  6 Ce 2.94-3.00

**Total DFT energy (no corrections)**: -78.4 eV/cell



Record 4
A geometry-optimized Ce8Te4AsSe3 structure. Source: Alexandria, functional GGA-PBE.

Unit cell a=8.6237 b=8.7678 c=8.6234 alpha=119.46 beta=120.00 gamma=90.00
With the nearest neighbours (Å) after each atom.
Fractional coordinates of all 16 atoms:
1 Ce 0.2566 0.2755 0.0160  1 As 2.96, 2 Se 2.98, 3 Te 3.18-3.20
2 Te 0.0000 0.0000 0.5000  6 Ce 3.18
3 Ce 0.7434 0.7245 0.9840  1 As 2.96, 2 Se 2.98, 3 Te 3.18-3.20
4 Ce 0.7594 0.2755 0.5189  1 As 2.96, 2 Se 2.98, 3 Te 3.18-3.20
5 As 0.0000 0.5000 0.0000  6 Ce 2.96
6 Se 0.5000 0.5000 0.5000  6 Ce 2.97-2.98
7 Ce 0.7417 0.7252 0.4834  3 Se 2.97, 3 Te 3.18
8 Ce 0.2406 0.7245 0.9840  1 As 2.96, 2 Se 2.98, 3 Te 3.18-3.20
9 Te 0.0000 0.0000 0.0000  6 Ce 3.18
10 Se 0.0000 0.5000 0.5000  6 Ce 2.97-2.98
11 Te 0.5000 0.0000 0.0000  6 Ce 3.20
12 Se 0.5000 0.5000 0.0000  6 Ce 2.97-2.98
13 Ce 0.7594 0.2755 0.0160  1 As 2.96, 2 Se 2.98, 3 Te 3.18-3.20
14 Ce 0.2583 0.2748 0.5166  3 Se 2.97, 3 Te 3.18
15 Te 0.5000 0.0000 0.5000  6 Ce 3.18
16 Ce 0.2406 0.7245 0.4811  1 As 2.96, 2 Se 2.98, 3 Te 3.18-3.20

**Total DFT energy (no corrections)**: -99.9 eV/cell



| no. | calculated volume (Å³ per cell) |
| --- | --- |
| 1 | 103 |
| 2 | 209 |
| 3 | 330 |
| 4 | 465 |